# 1
Here is an optimized crystal structure of MnRuN2F from the Alexandria database. Energies are from PBEsol.

Lattice parameters (Å, degrees): 3.6966 3.6966 3.6505 90.00 90.00 90.00
Closest atoms and distances in Å follow each position.
Space group P4/mmm (No. 123)
Inequivalent atoms, fractional coordinates:
Mn1 0.0000 0.0000 0.0000  2 F 1.83, 4 N 1.85
Ru1 0.5000 0.5000 0.5000  8 N 2.60, 4 F 2.61
N1 0.0000 0.5000 0.0000  2 Mn 1.85
F1 0.0000 0.0000 0.5000  2 Mn 1.83

Properties
- raw formation energy (eV per atom) = 0.5106
- magnetization (μB/f.u.) = 0.8
- E_tot (eV per atom) = -7.2722
- E above lowest polymorph (eV per atom) = 0.181


# 2
Here is an optimized crystal structure of LaInMo2 from the Alexandria database. Energies are from PBEsol.

Lattice parameters (Å, degrees): 3.6233 3.6233 6.6764 90.00 90.00 90.00
Closest atoms and distances in Å follow each position.
Space group P4/mmm (No. 123)
Inequivalent atoms, fractional coordinates:
La1 0.0000 0.0000 0.0000  2 In 3.34, 8 Mo 3.37, 4 La 3.62
In1 0.0000 0.0000 0.5000  8 Mo 2.81
Mo1 0.5000 0.5000 0.3271  1 Mo 2.31

Properties
- magnetization (μB/f.u.) = 0.0
- E_tot (eV per atom) = -7.5412
- ΔE_f (meV/atom) = 425


# 3
Here is an optimized crystal structure of Li3YAl from the Alexandria database. Energies are from PBEsol.

Lattice parameters (Å, degrees): 5.2547 5.2547 5.2547 90.00 90.00 90.00
Closest atoms and distances in Å follow each position.
Space group Pm-3m (No. 221)
Inequivalent atoms, fractional coordinates:
Li1 0.0000 0.0000 0.5000  2 Y 2.63
Y1 0.0000 0.0000 0.0000  6 Li 2.63
Al1 0.5000 0.5000 0.5000  12 Li 3.72

Properties
- magnetization (μB/f.u.) = 1.2
- E_tot (eV per atom) = -2.1117
- ΔE_f (meV/atom) = 1251


# 4
Here is an optimized crystal structure of OsBr4Cl from the Alexandria database. Energies are from PBEsol.

Lattice parameters (Å, degrees): 8.2875 8.2875 8.2875 90.00 90.00 90.00
Closest atoms and distances in Å follow each position.
Space group F-43m (No. 216)
Inequivalent atoms, fractional coordinates:
Os1 0.0000 0.0000 0.0000  12 Br 3.44, 4 Cl 3.59
Br1 0.1253 0.1253 0.3747  6 Br 2.92-2.94
Cl1 0.2500 0.2500 0.7500  12 Br 3.44, 4 Os 3.59

Properties
- raw formation energy (eV per atom) = 1.5070
- magnetization (μB/f.u.) = 3.7
- E_tot (eV per atom) = -2.1103


# 5
Here is an optimized crystal structure of ZrTcMo from the Alexandria database. Energies are from PBEsol.

Lattice parameters (Å, degrees): 6.1277 6.1277 6.1277 90.00 90.00 90.00
Closest atoms and distances in Å follow each position.
Space group F-43m (No. 216)
Inequivalent atoms, fractional coordinates:
Zr1 0.0000 0.0000 0.0000  4 Mo 2.65, 4 Tc 2.65
Tc1 0.2500 0.2500 0.2500  4 Zr 2.65
Mo1 0.2500 0.2500 0.7500  4 Zr 2.65

Properties
- magnetization (μB/f.u.) = 0.8
- E_tot (eV per atom) = -9.4449
- ΔE_f (meV/atom) = 1263
- E above lowest polymorph (eV per atom) = 1.425


# 6
Here is an optimized crystal structure of RbB3I from the Alexandria database. Energies are from PBEsol.

Lattice parameters (Å, degrees): 5.2398 5.2398 5.2398 90.00 90.00 90.00
Closest atoms and distances in Å follow each position.
Space group Pm-3m (No. 221)
Inequivalent atoms, fractional coordinates:
Rb1 0.0000 0.0000 0.0000  6 B 2.62
B1 0.0000 0.0000 0.5000  2 Rb 2.62
I1 0.5000 0.5000 0.5000  12 B 3.71

Properties
- raw formation energy (eV per atom) = 3.1953
- magnetization (μB/f.u.) = 0.0
- E_tot (eV per atom) = -1.5729


> Which of these has the highest magnetization?

OsBr4Cl